1.
14
Lattice="4.248 0.000 0.000 0.000 4.248 0.000 0.000 0.000 14.101" Properties=species:S:1:pos:R:3 comment="Cs2CuF4 (GGA-PBEsol, optimized geometry)" space_group=I4/mmm raw_formation_energy_ev_per_atom=-2.2677 pbc="T T T"
Cs 0.000 0.000 2.058
Cs 0.000 0.000 12.043
Cs 2.124 2.124 4.993
Cs 2.124 2.124 9.108
Cu 0.000 0.000 7.050
Cu 2.124 2.124 0.000
F 0.000 0.000 5.126
F 0.000 0.000 8.975
F 0.000 2.124 0.000
F 0.000 2.124 7.050
F 2.124 0.000 0.000
F 2.124 0.000 7.050
F 2.124 2.124 1.925
F 2.124 2.124 12.176

2.
18
Lattice="0.000 5.088 5.088 5.088 0.000 5.088 5.088 5.088 0.000" Properties=species:S:1:pos:R:3 comment="CsCu2F6 (GGA-PBEsol, optimized geometry)" space_group=Fd-3m raw_formation_energy_ev_per_atom=-1.8468 pbc="T T T"
Cs 1.272 1.272 1.272
Cs 8.905 8.905 8.905
Cu 5.088 2.544 2.544
Cu 2.544 5.088 2.544
Cu 2.544 2.544 5.088
Cu 5.088 5.088 5.088
F 3.816 3.816 1.869
F 3.816 1.869 3.816
F 5.763 3.816 3.816
F 6.361 6.361 4.413
F 6.361 4.413 6.361
F 8.308 6.361 6.361
F 1.869 3.816 3.816
F 3.816 5.763 3.816
F 3.816 3.816 5.763
F 4.413 6.361 6.361
F 6.361 8.308 6.361
F 6.361 6.361 8.308

3.
18
Lattice="-3.541 3.759 5.163 3.541 -3.759 5.163 3.541 3.759 -5.163" Properties=species:S:1:pos:R:3 comment="CsMnCuF6 (GGA-PBEsol, optimized geometry)" space_group=Imma raw_formation_energy_ev_per_atom=-2.2702 pbc="T T T"
Cs 0.000 1.879 1.197
Cs 3.541 1.879 3.966
Mn 3.541 0.000 0.000
Mn 0.000 0.000 5.163
Cu 1.770 1.879 -2.582
Cu 1.770 -1.879 2.582
F 3.541 -1.879 3.323
F 2.218 -0.316 1.253
F 4.864 -0.316 1.253
F 3.541 1.879 0.544
F 2.218 3.443 -1.253
F 1.323 -0.316 3.910
F 2.218 4.075 1.253
F 1.323 0.316 6.416
F 0.000 1.879 4.619
F -1.323 4.075 3.910
F 1.323 4.075 3.910
F 0.000 5.638 1.841

4.
5
Lattice="5.071 0.000 0.000 0.000 5.071 0.000 0.000 0.000 4.513" Properties=species:S:1:pos:R:3 comment="CsCuNF2 (GGA-PBEsol, optimized geometry)" space_group=P4/mmm raw_formation_energy_ev_per_atom=0.7042 pbc="T T T"
Cs 0.000 0.000 0.000
Cu 2.536 2.536 2.256
N 0.000 0.000 2.256
F 0.000 2.536 0.000
F 2.536 0.000 0.000

5.
16
Lattice="6.516 0.000 0.000 2.406 6.079 0.000 3.078 2.110 5.956" Properties=species:S:1:pos:R:3 comment="Cs2Cu3NiF10 (GGA-PBEsol, optimized geometry)" space_group=P-1 raw_formation_energy_ev_per_atom=-1.8895 pbc="T T T"
Cs 1.425 0.950 0.775
Cs 10.575 7.239 5.182
Cu 2.742 4.094 2.978
Cu 4.797 1.055 2.978
Cu 6.000 4.094 2.978
Ni 4.461 3.039 0.000
F 2.990 3.713 1.144
F 3.846 2.646 3.485
F 5.176 5.769 2.973
F 6.240 4.223 4.858
F 7.423 6.782 4.841
F 4.577 1.407 1.116
F 5.759 3.966 1.098
F 6.824 2.420 2.983
F 8.154 5.542 2.471
F 9.009 4.475 4.812

6.
5
Lattice="5.143 0.000 0.000 0.000 5.143 0.000 0.000 0.000 4.694" Properties=species:S:1:pos:R:3 comment="CsCu2PdF (GGA-PBEsol, optimized geometry)" space_group=P4/mmm raw_formation_energy_ev_per_atom=1.0569 pbc="T T T"
Cs 0.000 0.000 0.000
Cu 0.000 2.572 0.000
Cu 2.572 0.000 0.000
Pd 2.572 2.572 2.347
F 0.000 0.000 2.347